[1]
Computed, not measured: crystalline LaNiSnH at its relaxed geometry at the PBEsol level of DFT.

Results
Its total energy is -86.593 eV/cell. For the density, the calculation gives 7.82 g cm⁻³. The space-group type is Pnma (62).

Geometry as POSCAR:
```
LaNiSnH
1.0
4.4061 0.0000 0.0000
0.0000 7.1810 0.0000
0.0000 0.0000 8.5167
La Ni Sn H
4 4 4 4
Direct
0.2500 0.9870 0.6904
0.7500 0.0130 0.3096
0.7500 0.5130 0.1904
0.2500 0.4870 0.8096
0.2500 0.2185 0.0972
0.7500 0.7815 0.9028
0.7500 0.2815 0.5972
0.2500 0.7185 0.4028
0.2500 0.3425 0.4329
0.7500 0.6575 0.5671
0.7500 0.1575 0.9329
0.2500 0.8425 0.0671
0.7500 0.5607 0.9178
0.2500 0.4393 0.0822
0.2500 0.9393 0.4178
0.7500 0.0607 0.5822
```

[2]
Computed, not measured: crystalline LaNiSnH2 at its relaxed geometry at the PBEsol level of DFT.

Results
Its total energy is -51.090 eV/cell. For the density, the calculation gives 7.44 g cm⁻³. The space-group type is P6_3/mmc (194).

Geometry as POSCAR:
```
LaNiSnH2
1.0
-1.8715 1.1093 3.7945
-1.3179 -3.5910 -2.1211
5.8370 -4.6448 4.2368
La Ni Sn H
2 2 2 4
Direct
0.0000 0.0000 0.0000
0.0000 0.0000 0.5000
0.3333 0.6667 0.7500
0.6667 0.3333 0.2500
0.6667 0.3333 0.7500
0.3333 0.6667 0.2500
0.6667 0.3333 0.4358
0.3333 0.6667 0.5642
0.6667 0.3333 0.0642
0.3333 0.6667 0.9358
```

[3]
Computed, not measured: crystalline LaHO2 at its relaxed geometry at the PBEsol level of DFT.

Results
Its total energy is -59.163 eV/cell. For the density, the calculation gives 5.48 g cm⁻³. The space-group type is P2_1/m (11).

Geometry as POSCAR:
```
LaHO2
1.0
-0.7148 -1.0642 3.6763
-0.1669 -4.2218 -1.2546
6.0370 1.2697 1.5414
H O La
2 4 2
Direct
0.2500 0.9847 0.0684
0.7500 0.0153 0.9316
0.2500 0.7599 0.5381
0.7500 0.2401 0.4619
0.2500 0.7590 0.0589
0.7500 0.2410 0.9411
0.7500 0.6698 0.3063
0.2500 0.3302 0.6937
```

[4]
Computed, not measured: crystalline LaH3O3 at its relaxed geometry at the PBEsol level of DFT.

Results
For the density, the calculation gives 4.59 g cm⁻³. The energy relative to the lowest polymorph listed for this composition comes out at 0.0000 eV per atom. The space-group type is P6_3/m (176).

Geometry as POSCAR:
```
LaH3O3
1.0
3.7854 0.0000 0.0000
0.0000 6.4725 0.0000
0.0000 -3.2362 5.6053
H O La
6 6 2
Direct
0.2500 0.2775 0.1418
0.2500 0.8582 0.1358
0.2500 0.8642 0.7225
0.7500 0.7225 0.8582
0.7500 0.1418 0.8642
0.7500 0.1358 0.2775
0.2500 0.3888 0.0809
0.2500 0.9191 0.3079
0.2500 0.6921 0.6112
0.7500 0.6112 0.9191
0.7500 0.0809 0.6921
0.7500 0.3079 0.3888
0.2500 0.3333 0.6667
0.7500 0.6667 0.3333
```

[5]
Computed, not measured: crystalline LaHO at its relaxed geometry at the PBEsol level of DFT.

Results
Its total energy is -164.599 eV/cell. For the density, the calculation gives 5.74 g cm⁻³. The space-group type is P4/nmm (129).

Geometry as POSCAR:
```
LaHO
1.0
5.6485 0.0000 0.0000
0.0000 7.9936 0.0000
0.0000 0.0000 7.9936
La H O
8 8 8
Direct
0.5000 0.2500 0.7500
0.5000 0.2500 0.2500
0.5000 0.7500 0.7500
0.5000 0.7500 0.2500
0.0574 0.5000 0.0000
0.9426 0.0000 0.5000
0.0000 0.5000 0.5000
0.0000 0.0000 0.0000
0.7568 0.5000 0.7692
0.7568 0.5000 0.2308
0.7568 0.7308 0.0000
0.7568 0.2692 0.0000
0.2432 0.7692 0.5000
0.2432 0.0000 0.7308
0.2432 0.0000 0.2692
0.2432 0.2308 0.5000
0.7412 0.2640 0.5000
0.7412 0.0000 0.2360
0.7412 0.0000 0.7640
0.7412 0.7360 0.5000
0.2588 0.2360 0.0000
0.2588 0.7640 0.0000
0.2588 0.5000 0.2640
0.2588 0.5000 0.7360
```

[6]
Computed, not measured: crystalline LaH3O3 at its relaxed geometry at the PBEsol level of DFT.

Results
For the density, the calculation gives 3.75 g cm⁻³. The energy relative to the lowest polymorph listed for this composition comes out at 0.0640 eV per atom. The space-group type is P2_1/c (14).

Geometry as POSCAR:
```
LaH3O3
1.0
-2.4717 -4.2637 -0.4678
4.2912 -0.9266 -4.2562
6.6602 -4.7102 7.7405
H O La
12 12 4
Direct
0.6793 0.9304 0.7904
0.1652 0.8151 0.0984
0.5156 0.8434 0.6464
0.4844 0.6566 0.1464
0.8348 0.6849 0.5984
0.3207 0.5696 0.2904
0.6793 0.4304 0.7096
0.1652 0.3151 0.4016
0.5156 0.3434 0.8536
0.4844 0.1566 0.3536
0.8348 0.1849 0.9016
0.3207 0.0696 0.2096
0.8073 0.8290 0.5587
0.8729 0.9588 0.8219
0.6094 0.6163 0.2107
0.3906 0.8837 0.7107
0.1271 0.5412 0.3219
0.1927 0.6710 0.0587
0.8073 0.3290 0.9413
0.8729 0.4588 0.6781
0.6094 0.1163 0.2893
0.3906 0.3837 0.7893
0.1271 0.0412 0.1781
0.1927 0.1710 0.4413
0.8931 0.8529 0.3511
0.1069 0.6471 0.8511
0.8931 0.3529 0.1489
0.1069 0.1471 0.6489
```